# 1
AcTb2Zn | GGA-PBE | relaxed

Cell: 11.7191 11.7191 11.7191 Å, 17.76 17.76 17.76°
Atoms (fractional coordinates):
Ac (0.0000, 0.0000, 0.0000)
Tb (0.1045, 0.1045, 0.1045)
Tb (0.8955, 0.8955, 0.8955)
Zn (0.5000, 0.5000, 0.5000)

excess energy over the best structure of this formula in the dataset = 5.84 kcal/mol of atoms
space-group type = R-3m
crystal system = trigonal
density of states at the Fermi level = 5.2 states/eV/cell

# 2
HfIr3I | GGA-PBE | relaxed

Cell: 4.9149 4.9149 4.9149 Å, 90.00 90.00 90.00°
Atoms (fractional coordinates):
Hf (0.0000, 0.0000, 0.0000)
Ir (0.0000, 0.0000, 0.5000)
Ir (0.0000, 0.5000, 0.0000)
Ir (0.5000, 0.0000, 0.0000)
I (0.5000, 0.5000, 0.5000)

formation energy from raw total energies = 1584 meV/atom
excess energy over the best structure of this formula in the dataset = 0.00 kcal/mol of atoms
space-group type = Pm-3m
crystal system = cubic
density of states at the Fermi level = 9.3 states/eV/cell

> What is the density of states at the Fermi level in the first record?

5.2 states/eV/cell

> Look up the excess energy over the best structure of this formula in the dataset of the second one.

0.00 kcal/mol of atoms